Sr3In3Ga8, relaxed, DFT PBE; VASP energy = -0.224 Ry/atom; density of states at the Fermi level = 5.568 states/eV/cell; size of the total moment = 0.0 μB per formula unit
1.0
-2.251 5.251 7.061
2.251 -5.251 7.061
2.251 5.251 -7.061
Sr In Ga
3 3 8
direct
0.000 0.000 0.000
0.312 0.312 0.000
0.688 0.688 0.000
0.282 0.500 0.782
0.500 0.000 0.500
0.718 0.500 0.218
0.039 0.664 0.375
0.106 0.840 0.266
0.290 0.664 0.625
0.426 0.160 0.266
0.574 0.840 0.734
0.710 0.336 0.375
0.894 0.160 0.734
0.961 0.336 0.625

K2IrRh, relaxed, DFT PBE; VASP energy = -0.279 Ry/atom; density of states at the Fermi level = 3.118 states/eV/cell; size of the total moment = 0.1 μB per formula unit; ΔE to the lowest computed polymorph = 1.72 eV per formula unit
1.0
1.435 0.828 11.055
-1.435 0.828 11.055
0.000 -1.657 11.055
K Ir Rh
2 1 1
direct
0.249 0.249 0.249
0.751 0.751 0.751
0.000 0.000 0.000
0.500 0.500 0.500

TiAg8Se6, relaxed, DFT PBE; VASP energy = -0.272 Ry/atom; ΔE_f (raw) = -0.2650 eV per atom; size of the total moment = 0.0 μB per formula unit
1.0
8.102 0.000 0.000
0.000 7.777 0.000
0.000 0.000 10.977
Ti Ag Se
2 16 12
direct
0.000 0.230 0.000
0.500 0.770 0.500
0.000 0.796 0.959
0.000 0.883 0.525
0.188 0.973 0.757
0.209 0.389 0.348
0.227 0.337 0.636
0.273 0.663 0.136
0.291 0.611 0.848
0.312 0.027 0.257
0.500 0.117 0.025
0.500 0.204 0.459
0.688 0.027 0.257
0.709 0.611 0.848
0.727 0.663 0.136
0.773 0.337 0.636
0.791 0.389 0.348
0.812 0.973 0.757
0.000 0.222 0.493
0.000 0.475 0.138
0.000 0.686 0.730
0.000 0.997 0.146
0.247 0.746 0.385
0.253 0.254 0.885
0.500 0.003 0.646
0.500 0.314 0.230
0.500 0.525 0.638
0.500 0.778 0.993
0.747 0.254 0.885
0.753 0.746 0.385